## Zr2Al2FeNiPt2 (GGA-PBE)

Data for crystalline Zr2Al2FeNiPt2 at its relaxed geometry.

Spin magnetization (μB/cell): 1.44
SG: P-4m2 (115)
Total DFT energy (no corrections) (eV/atom): -7.06

a b c (Å): 4.4646 4.4646 6.3013
angles (deg): 90.00 90.00 90.00
Fractional positions:
Zr  0.0000  0.5000  0.2500
Zr  0.5000  0.0000  0.7500
Al  0.0000  0.5000  0.7497
Al  0.5000  0.0000  0.2503
Fe  0.0000  0.0000  0.5000
Ni  0.5000  0.5000  0.0000
Pt  0.0000  0.0000  0.0000
Pt  0.5000  0.5000  0.5000



## YAlCoSn (GGA-PBE)

Data for crystalline YAlCoSn at its relaxed geometry.

Spin magnetization (μB/cell): 0.00
Relative energy among the computed polymorphs (meV per atom): 6
SG: Amm2 (38)

a b c (Å): 7.1000 5.6021 5.6021
angles (deg): 43.15 90.00 90.00
Fractional positions:
Y  0.0000  0.0000  0.0000
Y  0.5000  0.1270  0.1270
Al  0.1905  0.7133  0.7133
Al  0.8095  0.7133  0.7133
Co  0.0000  0.2610  0.2610
Co  0.5000  0.8314  0.8314
Sn  0.2941  0.4102  0.4102
Sn  0.7059  0.4102  0.4102